1.
Here is an optimized crystal structure of PaPdW from the Alexandria database. Energies are from PBE-GGA.

Results
The density comes out at 15.2 Mg/m³. The magnetic moment comes out at 0.00 μB per formula unit. The density of states at the Fermi level comes out at 7.94 states/eV per cell. As for the volume: 113.6 Å³ per cell. The formation energy comes out at 0.045 eV per atom.

Cell: 3.1412 5.0662 7.1961 Å, 82.66 89.81 89.82°
With the nearest neighbours (Å) after each atom.
Fractional positions:
1 Pa 0.2489 0.4100 0.1848  3 W 2.93-2.94, 5 Pd 2.94-3.21, 4 Pa 3.12-3.14
2 Pa 0.7511 0.5900 0.8152  3 W 2.93-2.94, 5 Pd 2.94-3.21, 4 Pa 3.12-3.14
3 Pd 0.2498 0.0754 0.8356  2 W 2.78-2.79, 2 Pd 2.86, 4 Pa 2.94-3.04
4 Pd 0.7502 0.9246 0.1644  2 W 2.78-2.79, 2 Pd 2.86, 4 Pa 2.94-3.04
5 W 0.2514 0.7645 0.4784  2 Pd 2.78-2.79, 4 W 2.91-3.10, 3 Pa 2.93-2.94
6 W 0.7486 0.2355 0.5216  2 Pd 2.78-2.79, 4 W 2.91-3.10, 3 Pa 2.93-2.94

---

2.
Here is an optimized crystal structure of Y2Zn2Os from the Alexandria database. Energies are from PBE-GGA.

Results
The density comes out at 8.1 Mg/m³. The calculation puts the excess energy over the best structure of this formula in the dataset at 17 meV per atom. The magnetic moment comes out at 0.00 μB per formula unit. The density of states at the Fermi level comes out at 9.00 states/eV per cell. As for the volume: 203.5 Å³ per cell. The formation energy comes out at -0.084 eV per atom.

Cell: 6.8652 6.8652 4.3174 Å, 90.00 90.00 90.00°
With the nearest neighbours (Å) after each atom.
Fractional positions:
1 Y 0.1885 0.3115 0.0000  6 Zn 2.81-3.09
2 Y 0.3115 0.8115 0.0000  6 Zn 2.81-3.09
3 Y 0.6885 0.1885 0.0000  6 Zn 2.81-3.09
4 Y 0.8115 0.6885 0.0000  6 Zn 2.81-3.09
5 Zn 0.1267 0.6267 0.5000  1 Zn 2.46, 2 Os 2.71
6 Zn 0.3733 0.1267 0.5000  1 Zn 2.46, 2 Os 2.71
7 Zn 0.6267 0.8733 0.5000  1 Zn 2.46, 2 Os 2.71
8 Zn 0.8733 0.3733 0.5000  1 Zn 2.46, 2 Os 2.71
9 Os 0.0000 0.0000 0.5000  4 Zn 2.71
10 Os 0.5000 0.5000 0.5000  4 Zn 2.71

---

3.
Here is an optimized crystal structure of VGe2PdPb from the Alexandria database. Energies are from PBE-GGA.

Results
The density comes out at 6.8 Mg/m³. The magnetic moment comes out at 0.22 μB per formula unit. The density of states at the Fermi level comes out at 7.29 states/eV per cell. As for the volume: 123.8 Å³ per cell. The formation energy comes out at 0.885 eV per atom.

Cell: 4.7194 4.7194 5.5600 Å, 90.00 90.00 90.00°
With the nearest neighbours (Å) after each atom.
Fractional positions:
1 V 0.0000 0.0000 0.0000  4 Pb 3.34, 8 Ge 3.65
2 Ge 0.0000 0.5000 0.5000  2 Pd 2.36
3 Ge 0.5000 0.0000 0.5000  2 Pd 2.36
4 Pd 0.5000 0.5000 0.5000  4 Ge 2.36
5 Pb 0.5000 0.5000 0.0000  2 Pd 2.78

---

4.
Here is an optimized crystal structure of ScWI3 from the Alexandria database. Energies are from PBE-GGA.

Results
Its uncorrected formation energy is 3.39 eV/f.u. The density comes out at 5.4 Mg/m³. The magnetic moment comes out at 6.00 μB per formula unit. The density of states at the Fermi level comes out at 2.62 states/eV per cell. As for the volume: 188.4 Å³ per cell.

Cell: 5.7326 5.7326 5.7326 Å, 90.00 90.00 90.00°
With the nearest neighbours (Å) after each atom.
Fractional positions:
1 Sc 0.0000 0.0000 0.0000  6 I 2.87
2 W 0.5000 0.5000 0.5000  12 I 4.05
3 I 0.0000 0.0000 0.5000  2 Sc 2.87
4 I 0.0000 0.5000 0.0000  2 Sc 2.87
5 I 0.5000 0.0000 0.0000  2 Sc 2.87